Record 1
{"formula": "YSnSe2N", "functional": "PBE-GGA", "state": "optimized geometry", "cell": [[-4.7368, 2.8867, -0.1025], [-2.7307, -4.4110, 1.9665], [0.7470, 1.3718, 4.1142]], "species": ["N", "Se", "Se", "Y", "Sn"], "frac_coords": [[0.0000, 0.0000, 0.5000], [0.5000, 0.0000, 0.0000], [0.0000, 0.5000, 0.0000], [0.0000, 0.0000, 0.0000], [0.5000, 0.5000, 0.5000]], "dos_ef_per_ev_cell": 1.70, "m_tot_mub_per_fu": 2.00, "sg": "No. 123", "formation_energy_uncorrected_ev_per_atom": -0.11}

=====

Record 2
{"formula": "SiPt2W", "functional": "PBE-GGA", "state": "optimized geometry", "cell": [[6.0303, 0.0018, 0.0060], [-2.3635, 4.2544, -0.0018], [1.3033, 0.7234, 2.3746]], "species": ["W", "Si", "Pt", "Pt"], "frac_coords": [[0.5000, 0.5000, 0.0000], [0.0000, 0.5000, 0.5000], [0.5000, 0.0000, 0.5000], [0.0000, 0.0000, 0.0000]], "dos_ef_per_ev_cell": 3.71, "m_tot_mub_per_fu": 0.00, "sg": "No. 65", "formation_energy_uncorrected_ev_per_atom": -0.12}

=====

Record 3
{"formula": "S2OF", "functional": "PBE-GGA", "state": "optimized geometry", "cell": [[-1.2075, 7.2527, 1.4973], [-0.1497, 6.4195, 3.8818], [1.5088, 7.1215, 1.8189]], "species": ["F", "S", "S", "O"], "frac_coords": [[0.0000, 0.0000, 0.0000], [0.9081, 0.9081, 0.9081], [0.0919, 0.0919, 0.0919], [0.5000, 0.5000, 0.5000]], "dos_ef_per_ev_cell": 2.15, "m_tot_mub_per_fu": 0.00, "sg": "No. 166", "formation_energy_uncorrected_ev_per_atom": 0.45}

=====

Record 4
{"formula": "Pr9Cd2In", "functional": "PBE-GGA", "state": "optimized geometry", "cell": [[5.0262, 0.0000, 0.0000], [0.0000, 5.0262, 0.0000], [0.0000, 0.0000, 15.0493]], "species": ["Pr", "Pr", "Pr", "Pr", "Pr", "Pr", "Pr", "Pr", "Pr", "In", "Cd", "Cd"], "frac_coords": [[0.5000, 0.5000, 0.6655], [0.0000, 0.5000, 0.8339], [0.5000, 0.5000, 0.3345], [0.0000, 0.5000, 0.5000], [0.0000, 0.5000, 0.1661], [0.5000, 0.5000, 0.0000], [0.5000, 0.0000, 0.5000], [0.5000, 0.0000, 0.1661], [0.5000, 0.0000, 0.8339], [0.0000, 0.0000, 0.0000], [0.0000, 0.0000, 0.3339], [0.0000, 0.0000, 0.6661]], "dos_ef_per_ev_cell": 18.61, "formation_enthalpy_0k_ev_per_atom": -0.170, "m_tot_mub_per_fu": 0.00, "sg": "No. 123"}

=====

Record 5
{"formula": "Th4PdRh", "functional": "PBE-GGA", "state": "optimized geometry", "cell": [[7.9668, -0.0601, 0.0000], [-3.2721, 7.2641, 0.0000], [-2.3474, -3.6020, 6.7074]], "species": ["Th", "Th", "Th", "Th", "Th", "Th", "Th", "Th", "Rh", "Rh", "Pd", "Pd"], "frac_coords": [[0.1933, 0.9895, 0.2037], [0.7395, 0.0358, 0.2962], [0.2604, 0.9641, 0.7036], [0.7395, 0.4433, 0.7037], [0.3068, 0.5104, 0.7964], [0.7858, 0.9895, 0.7963], [0.2604, 0.5568, 0.2964], [0.7141, 0.5104, 0.2036], [0.7505, 0.7505, 0.0000], [0.5005, 0.0005, 0.5000], [0.2495, 0.2495, 0.0000], [0.9995, 0.4995, 0.5000]], "dos_ef_per_ev_cell": 19.35, "formation_enthalpy_0k_ev_per_atom": -0.202, "m_tot_mub_per_fu": 0.00, "sg": "No. 109"}

=====

Record 6
{"formula": "KHfIn", "functional": "PBE-GGA", "state": "optimized geometry", "cell": [[-4.4478, -2.7211, 11.5941], [-1.7961, -4.3522, -1.7105], [2.8902, -1.4750, 0.7184]], "species": ["Hf", "Hf", "In", "In", "K", "K"], "frac_coords": [[0.3672, 0.5000, 0.4784], [0.5549, 0.5000, 0.9869], [0.3097, 0.0000, 0.9762], [0.5320, 0.0000, 0.4860], [0.0901, 0.5000, 0.4675], [0.7928, 0.0000, 0.0049]], "dos_ef_per_ev_cell": 3.72, "formation_enthalpy_0k_ev_per_atom": 0.129, "m_tot_mub_per_fu": 0.00, "sg": "No. 6"}

=====

Record 7
{"formula": "Tm3AlGa2", "functional": "PBE-GGA", "state": "optimized geometry", "cell": [[-6.0419, -0.0743, -0.0451], [0.0875, -5.9548, -1.9216], [2.9699, -0.3187, 7.4527]], "species": ["Al", "Al", "Tm", "Tm", "Tm", "Tm", "Tm", "Tm", "Ga", "Ga", "Ga", "Ga"], "frac_coords": [[0.1482, 0.2500, 0.0000], [0.8518, 0.7500, 0.0000], [0.7179, 0.8961, 0.6480], [0.9300, 0.3961, 0.6480], [0.2821, 0.1039, 0.3520], [0.3541, 0.7500, 0.0000], [0.0700, 0.6039, 0.3520], [0.6459, 0.2500, 0.0000], [0.5437, 0.5345, 0.3135], [0.4563, 0.4655, 0.6865], [0.2302, 0.9655, 0.6865], [0.7698, 0.0345, 0.3135]], "dos_ef_per_ev_cell": 8.12, "formation_enthalpy_0k_ev_per_atom": -0.436, "m_tot_mub_per_fu": 0.00, "sg": "No. 15"}

=====

Record 8
{"formula": "LiBe", "functional": "PBE-GGA", "state": "optimized geometry", "cell": [[-2.3805, -1.5685, 5.8134], [3.8694, -0.1802, -5.1882], [1.9351, 2.1372, 1.3690]], "species": ["Li", "Li", "Be", "Be"], "frac_coords": [[0.4137, 0.5863, 0.2500], [0.5863, 0.4137, 0.7500], [0.7847, 0.2153, 0.7500], [0.2153, 0.7847, 0.2500]], "dos_ef_per_ev_cell": 0.74, "formation_enthalpy_0k_ev_per_atom": 0.154, "m_tot_mub_per_fu": 0.00, "sg": "No. 63"}

=====

Which calculated total energy belongs to each record? In order, -26.3 -30.9 -13.3 -49.6 -86.9 -26.8 -51.6 -10.7 eV per cell.